DFT (meta-GGA SCAN) results for a PBEsol-optimized structure of Li2ZrCl2.

```
Li2ZrCl2
1.0
7.6979 0.0000 0.0000
0.0000 7.6979 0.0000
0.0000 0.0000 3.1418
Li Zr Cl
4 2 4
direct
0.1265 0.3735 0.0000
0.3735 0.8735 0.0000
0.6265 0.1265 0.0000
0.8735 0.6265 0.0000
0.0000 0.0000 0.0000
0.5000 0.5000 0.0000
0.1552 0.6552 0.5000
0.3448 0.1552 0.5000
0.6552 0.8448 0.5000
0.8448 0.3448 0.5000
```

Results
Total magnetic moment (μB per formula unit): 3.2
Formation energy without anion corrections (eV/atom): -0.53
E_tot (eV/atom): -10.8130



DFT (meta-GGA SCAN) results for a PBEsol-optimized structure of FeOs2Pb.

```
FeOs2Pb
1.0
1.4328 0.8272 8.9090
-1.4328 0.8272 8.9090
0.0000 -1.6545 8.9090
Fe Os Pb
1 2 1
direct
0.0000 0.0000 0.0000
0.2622 0.2622 0.2622
0.7378 0.7378 0.7378
0.5000 0.5000 0.5000
```

Results
Total magnetic moment (μB per formula unit): 2.9
E_tot (eV/atom): -58.5964
Formation energy (eV/atom): 0.82



Number 1: volume 186.2 Å³/cell. Number 2: volume 63.4 Å³/cell.